VASP calculation (PBE) on a relaxed RbSe3 crystal.

Summary:
**Raw formation energy**: -0.1085 eV/atom
**DOS(E_F)**: 0.4216 states/eV per atom
**Calculated density**: 4.43 Mg/m³
**Total DFT energy (no corrections)**: -2.9638 eV per atom
**Symmetry**: Pmm2, No. 25
**Total magnetization**: 0.00 μB/atom
**ΔE to the lowest computed polymorph**: 373 meV per atom

```
data_RbSe3
_chemical_formula_sum 'Rb1 Se3'
_cell_length_a 4.1424
_cell_length_b 3.6751
_cell_length_c 7.9367
_cell_angle_alpha 90.00
_cell_angle_beta 90.00
_cell_angle_gamma 90.00
_space_group_name_H-M_alt 'P 1'
_space_group_IT_number 1
loop_
_space_group_symop_operation_xyz
'x,y,z'
loop_
_atom_site_label
_atom_site_type_symbol
_atom_site_fract_x
_atom_site_fract_y
_atom_site_fract_z
Se1 Se 0.5000 0.5000 0.8170
Se2 Se 0.0000 0.0000 0.9493
Rb1 Rb 0.0000 0.5000 0.3231
Se3 Se 0.5000 0.0000 0.5773
```